Er4InGaHg2 | Alexandria via LeMat-Bulk | GGA-PBE | relaxed; volume = 198 Å³/cell; DFT total energy = -0.131 hartree per atom; size of the total moment = 0.000 μB/atom; energy relative to the elements = -480.9 meV per atom; space-group type = No. 166
1.0
-4.575 -1.392 -2.031
-1.426 -4.996 -0.010
-5.668 -1.097 6.876
Er In Ga Hg
4 1 1 2
direct
0.380 0.380 0.861
0.871 0.871 0.387
0.129 0.129 0.613
0.620 0.620 0.139
0.000 0.000 0.000
0.500 0.500 0.500
0.746 0.746 0.761
0.254 0.254 0.239